[1]
DFT (PBE) results for a geometry-optimized LiY2Th structure.

POSCAR file:
```
LiY2Th
1.0
5.736 0.000 0.000
0.000 5.736 0.000
0.000 0.000 3.617
Li Y Th
1 2 1
direct
0.000 0.000 0.000 Li
0.000 0.500 0.500 Y
0.500 0.000 0.500 Y
0.500 0.500 0.000 Th
```

- DFT formation energy: 0.167 eV per atom
- E: -5.40 eV per atom
- Density of states at the Fermi level: 1.408 states/eV/atom

***

[2]
DFT (PBE) results for a geometry-optimized LiY2Th structure.

POSCAR file:
```
LiY2Th
1.0
1.694 0.978 12.094
-1.694 0.978 12.094
0.000 -1.956 12.094
Li Y Th
1 2 1
direct
0.000 0.000 0.000 Li
0.407 0.407 0.407 Y
0.593 0.593 0.593 Y
0.500 0.500 0.500 Th
```

- DFT formation energy: 0.294 eV per atom
- E: -5.27 eV per atom
- Density of states at the Fermi level: 1.086 states/eV/atom

***

[3]
DFT (PBE) results for a geometry-optimized LiYTh structure.

POSCAR file:
```
LiYTh
1.0
3.612 0.000 0.000
0.000 3.612 0.000
0.000 0.000 12.895
Li Y Th
2 2 2
direct
0.250 0.250 0.051 Li
0.750 0.750 0.949 Li
0.250 0.250 0.784 Y
0.750 0.750 0.216 Y
0.250 0.250 0.406 Th
0.750 0.750 0.594 Th
```

- DFT formation energy: 0.048 eV per atom
- E: -5.22 eV per atom
- Density of states at the Fermi level: 1.322 states/eV/atom

***

[4]
DFT (PBE) results for a geometry-optimized LiYTh structure.

POSCAR file:
```
LiYTh
1.0
-1.823 1.823 6.328
1.823 -1.823 6.328
1.823 1.823 -6.328
Li Y Th
1 1 1
direct
0.000 0.000 0.000 Li
0.347 0.347 0.000 Y
0.661 0.661 0.000 Th
```

- DFT formation energy: 0.119 eV per atom
- E: -5.15 eV per atom
- Density of states at the Fermi level: 1.019 states/eV/atom

***

[5]
DFT (PBE) results for a geometry-optimized LiY2Th structure.

POSCAR file:
```
LiY2Th
1.0
3.646 0.000 0.000
0.000 3.646 0.000
0.000 0.000 8.710
Li Y Th
1 2 1
direct
0.000 0.000 0.000 Li
0.500 0.500 0.229 Y
0.500 0.500 0.771 Y
0.000 0.000 0.500 Th
```

- DFT formation energy: 0.050 eV per atom
- E: -5.52 eV per atom
- Density of states at the Fermi level: 1.125 states/eV/atom

***

[6]
DFT (PBE) results for a geometry-optimized LiYTh structure.

POSCAR file:
```
LiYTh
1.0
3.491 0.000 0.000
-1.746 3.024 0.000
0.000 0.000 8.469
Li Y Th
1 1 1
direct
0.000 0.000 0.000 Li
0.667 0.333 0.328 Y
0.333 0.667 0.666 Th
```

- DFT formation energy: 0.142 eV per atom
- E: -5.12 eV per atom
- Density of states at the Fermi level: 0.890 states/eV/atom